Entry 1:
# Cs3SrCu2Cl9, relaxed, DFT PBE-GGA
# - Total energy: -3.398 eV/atom
# - M_tot: 0.53 μB per formula unit
data_Cs3SrCu2Cl9
_space_group_name_H-M_alt 'P 1'
_space_group_IT_number 1
_cell_length_a 7.345
_cell_length_b 7.345
_cell_length_c 9.105
_cell_angle_alpha 90.00
_cell_angle_beta 90.00
_cell_angle_gamma 120.00
loop_
_space_group_symop_operation_xyz
'x,y,z'
loop_
_atom_site_label
_atom_site_fract_x
_atom_site_fract_y
_atom_site_fract_z
Cs1 0.000 0.000 0.000
Cs2 0.333 0.667 0.676
Cs3 0.667 0.333 0.324
Sr1 0.000 0.000 0.500
Cu1 0.333 0.667 0.151
Cu2 0.667 0.333 0.849
Cl1 0.000 0.500 0.000
Cl2 0.178 0.356 0.310
Cl3 0.178 0.822 0.310
Cl4 0.356 0.178 0.690
Cl5 0.500 0.000 0.000
Cl6 0.500 0.500 0.000
Cl7 0.644 0.822 0.310
Cl8 0.822 0.178 0.690
Cl9 0.822 0.644 0.690

Entry 2:
# CsSrCuCl4, relaxed, DFT PBE-GGA
# - Total energy: -3.763 eV/atom
# - M_tot: 0.14 μB per formula unit
data_CsSrCuCl4
_space_group_name_H-M_alt 'P 1'
_space_group_IT_number 1
_cell_length_a 6.695
_cell_length_b 7.079
_cell_length_c 9.482
_cell_angle_alpha 90.00
_cell_angle_beta 110.11
_cell_angle_gamma 90.00
loop_
_space_group_symop_operation_xyz
'x,y,z'
loop_
_atom_site_label
_atom_site_fract_x
_atom_site_fract_y
_atom_site_fract_z
Cs1 0.244 0.250 0.438
Cs2 0.756 0.750 0.562
Sr1 0.271 0.250 0.948
Sr2 0.729 0.750 0.052
Cu1 0.283 0.750 0.180
Cu2 0.717 0.250 0.820
Cl1 0.066 0.750 0.927
Cl2 0.093 0.750 0.340
Cl3 0.480 0.504 0.793
Cl4 0.480 0.996 0.793
Cl5 0.520 0.004 0.207
Cl6 0.520 0.496 0.207
Cl7 0.907 0.250 0.660
Cl8 0.934 0.250 0.073

Entry 3:
# CsSr3Cu4Cl12, relaxed, DFT PBE-GGA
# - Total energy: -3.728 eV/atom
# - M_tot: 1.12 μB per formula unit
data_CsSr3Cu4Cl12
_space_group_name_H-M_alt 'P 1'
_space_group_IT_number 1
_cell_length_a 9.118
_cell_length_b 9.118
_cell_length_c 9.118
_cell_angle_alpha 104.06
_cell_angle_beta 104.06
_cell_angle_gamma 104.06
loop_
_space_group_symop_operation_xyz
'x,y,z'
loop_
_atom_site_label
_atom_site_fract_x
_atom_site_fract_y
_atom_site_fract_z
Cs1 0.000 0.000 0.000
Sr1 0.000 0.556 0.444
Sr2 0.444 0.000 0.556
Sr3 0.556 0.444 0.000
Cu1 0.065 0.500 0.935
Cu2 0.500 0.500 0.500
Cu3 0.500 0.935 0.065
Cu4 0.935 0.065 0.500
Cl1 0.004 0.632 0.770
Cl2 0.096 0.904 0.500
Cl3 0.230 0.368 0.996
Cl4 0.345 0.655 0.500
Cl5 0.368 0.996 0.230
Cl6 0.500 0.096 0.904
Cl7 0.500 0.345 0.655
Cl8 0.632 0.770 0.004
Cl9 0.655 0.500 0.345
Cl10 0.770 0.004 0.632
Cl11 0.904 0.500 0.096
Cl12 0.996 0.230 0.368

Entry 4:
# CsTaCu2Cl8, relaxed, DFT PBE-GGA
# - Total energy: -4.040 eV/atom
# - M_tot: 0.22 μB per formula unit
data_CsTaCu2Cl8
_space_group_name_H-M_alt 'P 1'
_space_group_IT_number 1
_cell_length_a 12.130
_cell_length_b 12.130
_cell_length_c 12.130
_cell_angle_alpha 29.21
_cell_angle_beta 29.21
_cell_angle_gamma 29.21
loop_
_space_group_symop_operation_xyz
'x,y,z'
loop_
_atom_site_label
_atom_site_fract_x
_atom_site_fract_y
_atom_site_fract_z
Cs1 0.000 0.000 0.000
Ta1 0.500 0.500 0.500
Cu1 0.239 0.239 0.239
Cu2 0.761 0.761 0.761
Cl1 0.155 0.454 0.758
Cl2 0.242 0.546 0.845
Cl3 0.301 0.301 0.301
Cl4 0.454 0.758 0.155
Cl5 0.546 0.845 0.242
Cl6 0.699 0.699 0.699
Cl7 0.758 0.155 0.454
Cl8 0.845 0.242 0.546